[1]
First-principles (PBE) data for a relaxed LaNdUN3 crystal, as listed in the Alexandria database.

The structure in extended XYZ format:
```
12
Lattice="3.725 0.000 0.000 0.000 7.524 0.852 0.000 -2.027 8.531" Properties=species:S:1:pos:R:3 pbc="T T T"
N 2.794 0.411 5.139
Nd 0.931 4.344 1.871
U 0.931 -0.735 5.126
U 2.794 6.232 4.258
N 0.931 2.849 8.061
N 2.794 6.429 2.098
N 2.794 2.648 1.322
N 0.931 5.085 4.245
La 2.794 4.536 8.101
La 0.931 0.960 1.282
Nd 2.794 1.153 7.512
N 0.931 -0.933 7.285
```

Output
The total magnetization comes out at 0.0000 μB/atom. The value obtained for the formation energy (no corrections) is -1.0479 eV/atom.

=====

[2]
First-principles (PBE) data for a relaxed Th7Cd2Tc2 crystal, as listed in the Alexandria database.

The structure in extended XYZ format:
```
11
Lattice="-2.740 2.205 -1.504 -7.496 -6.034 -0.055 -5.901 1.113 7.520" Properties=species:S:1:pos:R:3 pbc="T T T"
Cd -7.920 -0.691 3.687
Tc -3.528 -0.855 0.309
Th -6.384 -0.774 0.768
Th -11.654 -3.050 7.032
Th -4.113 1.992 0.686
Th -4.682 0.112 3.829
Cd -6.922 -3.461 2.672
Th -10.038 -3.217 3.842
Tc -12.879 -3.071 4.369
Th -10.814 0.049 5.180
Th -7.421 1.543 6.055
```

Output
The total magnetization comes out at 0.0000 μB/atom. As for the energy relative to the elements: -0.06 eV/atom.

=====

[3]
First-principles (PBE) data for a relaxed BaBiPb2 crystal, as listed in the Alexandria database.

The structure in extended XYZ format:
```
4
Lattice="5.276 0.000 0.000 0.000 5.106 0.000 0.000 0.000 5.106" Properties=species:S:1:pos:R:3 pbc="T T T"
Pb 0.000 0.000 2.553
Bi 2.638 2.553 2.553
Ba 2.638 0.000 0.000
Pb 0.000 2.553 0.000
```

Output
The total magnetization comes out at 0.0000 μB/atom. As for the energy relative to the elements: -0.41 eV/atom.

=====

[4]
First-principles (PBE) data for a relaxed Ac4La crystal, as listed in the Alexandria database.

The structure in extended XYZ format:
```
5
Lattice="-0.620 3.869 0.607 -1.614 2.229 -2.854 -15.390 -1.196 4.988" Properties=species:S:1:pos:R:3 pbc="T T T"
Ac -4.333 3.441 -0.385
Ac -13.291 1.462 3.126
Ac -11.047 4.155 1.205
La 0.000 0.000 0.000
Ac -6.577 0.747 1.536
```

Output
The energy above the most stable polymorph in this dataset is 0.0007 eV/atom. The total magnetization comes out at 0.0000 μB/atom. As for the energy relative to the elements: 0.02 eV/atom.

=====

[5]
First-principles (PBE) data for a relaxed Ho3TmO crystal, as listed in the Alexandria database.

The structure in extended XYZ format:
```
5
Lattice="-4.649 -0.451 -1.471 1.472 -2.669 -3.832 -0.449 -4.080 2.669" Properties=species:S:1:pos:R:3 pbc="T T T"
Ho -0.225 -2.040 1.335
Tm -1.813 -3.600 -1.317
Ho 0.736 -1.335 -1.916
Ho -2.324 -0.225 -0.736
O 0.000 0.000 0.000
```

Output
The total magnetization comes out at 0.0000 μB/atom. The value obtained for the formation energy (no corrections) is -1.1056 eV/atom.

=====

[6]
First-principles (PBE) data for a relaxed Mg4Ga3Sn crystal, as listed in the Alexandria database.

The structure in extended XYZ format:
```
16
Lattice="4.894 0.000 0.000 0.000 6.728 0.000 0.000 0.000 10.069" Properties=species:S:1:pos:R:3 pbc="T T T"
Mg 0.407 1.607 7.552
Ga 2.874 0.000 7.552
Mg 2.447 1.586 0.000
Mg 4.486 1.607 2.517
Ga 0.000 0.000 0.000
Mg 4.486 5.121 2.517
Mg 2.447 5.142 5.035
Ga 2.840 3.364 7.552
Ga 2.054 3.364 2.517
Mg 0.407 5.121 7.552
Sn 0.000 3.364 5.035
Ga 0.000 0.000 5.035
Mg 2.447 5.142 0.000
Sn 0.000 3.364 0.000
Ga 2.020 0.000 2.517
Mg 2.447 1.586 5.035
```

Output
The total magnetization comes out at 0.0000 μB/atom. As for the energy relative to the elements: -0.12 eV/atom.

=====

[7]
First-principles (PBE) data for a relaxed La2Pm6HoTm crystal, as listed in the Alexandria database.

The structure in extended XYZ format:
```
20
Lattice="9.512 -2.218 -2.302 0.673 8.625 -2.026 0.673 -2.344 8.544" Properties=species:S:1:pos:R:3 pbc="T T T"
Pm 5.876 4.886 -1.725
Pm 2.208 4.553 -1.453
La 5.475 -0.211 0.864
Pm 8.894 -0.583 1.642
Ho 7.807 -3.864 6.679
Pm 1.120 -0.796 5.969
Pm 4.982 -0.823 5.941
Pm 6.964 -2.730 3.346
La 5.383 4.273 3.352
Pm 4.138 2.771 0.629
Tm 3.051 1.544 3.688
Pm 3.894 6.792 0.870
La 10.139 2.082 3.244
La 0.719 1.980 0.972
Ho 3.051 7.927 -2.463
Tm 7.807 2.519 0.528
Pm 6.721 1.291 3.587
Pm 1.965 4.646 2.574
Pm 9.738 4.858 -1.753
Pm 8.651 -0.491 5.669
```

Output
The total magnetization comes out at 0.0000 μB/atom. As for the energy relative to the elements: 0.11 eV/atom.

=====

[8]
First-principles (PBE) data for a relaxed TaS crystal, as listed in the Alexandria database.

The structure in extended XYZ format:
```
12
Lattice="-4.447 7.516 3.913 -4.298 -5.038 -6.908 -1.279 -1.889 2.173" Properties=species:S:1:pos:R:3 pbc="T T T"
S -3.212 0.687 -0.152
Ta -5.348 1.855 -0.394
S -6.372 -3.903 -3.716
S -6.812 -0.098 -0.669
S -7.286 3.398 -0.194
Ta -4.377 -3.587 -2.267
Ta -5.647 4.175 1.446
Ta -4.676 -1.266 -0.427
Ta -6.868 -1.958 -2.318
Ta -3.156 2.547 1.497
S -2.737 -2.809 -0.627
S -3.652 4.491 2.895
```

Output
The total magnetization comes out at 0.0000 μB/atom. The value obtained for the formation energy (no corrections) is -0.6616 eV/atom.

=====

Repeat the fifth record exactly.
First-principles (PBE) data for a relaxed Ho3TmO crystal, as listed in the Alexandria database.

The structure in extended XYZ format:
```
5
Lattice="-4.649 -0.451 -1.471 1.472 -2.669 -3.832 -0.449 -4.080 2.669" Properties=species:S:1:pos:R:3 pbc="T T T"
Ho -0.225 -2.040 1.335
Tm -1.813 -3.600 -1.317
Ho 0.736 -1.335 -1.916
Ho -2.324 -0.225 -0.736
O 0.000 0.000 0.000
```

Output
The total magnetization comes out at 0.0000 μB/atom. The value obtained for the formation energy (no corrections) is -1.1056 eV/atom.